# PBE NaBiP2O6, relaxed
data_NaBiP2O6
_chemical_formula_sum 'Na1 Bi1 P2 O6'
_symmetry_space_group_name_H-M 'P 1'
_symmetry_Int_Tables_number 1
_cell_length_a 5.3716
_cell_length_b 5.3716
_cell_length_c 6.7149
_cell_angle_alpha 66.42
_cell_angle_beta 66.42
_cell_angle_gamma 60.00
loop_
_symmetry_equiv_pos_as_xyz
'x,y,z'
loop_
_atom_site_label
_atom_site_fract_x
_atom_site_fract_y
_atom_site_fract_z
Na1 0.5000 0.5000 0.5000
Bi1 0.0000 0.0000 0.0000
P1 0.7685 0.7685 0.6945
P2 0.2315 0.2315 0.3055
O1 0.0236 0.4651 0.7646
O2 0.7467 0.0236 0.7646
O3 0.5349 0.2533 0.2354
O4 0.9764 0.5349 0.2354
O5 0.2533 0.9764 0.2354
O6 0.4651 0.7467 0.7646
# Formation energy without anion corrections, eV per atom: -1.66
# Calculated volume, A^3/atom: 14.88
# Final energy, eV per atom: -6.2394
# SG: No. 148


# PBE Ir5Rh7, relaxed
data_Ir5Rh7
_chemical_formula_sum 'Ir5 Rh7'
_symmetry_space_group_name_H-M 'P 1'
_symmetry_Int_Tables_number 1
_cell_length_a 2.7162
_cell_length_b 6.6545
_cell_length_c 10.1430
_cell_angle_alpha 79.15
_cell_angle_beta 90.00
_cell_angle_gamma 101.78
loop_
_symmetry_equiv_pos_as_xyz
'x,y,z'
loop_
_atom_site_label
_atom_site_fract_x
_atom_site_fract_y
_atom_site_fract_z
Ir1 0.1629 0.3257 0.3406
Ir2 0.8371 0.6743 0.6594
Ir3 0.3451 0.6901 0.1608
Ir4 0.6549 0.3099 0.8392
Ir5 0.0000 0.0000 0.0000
Rh1 0.1823 0.3647 0.5944
Rh2 0.8177 0.6353 0.4056
Rh3 0.9974 0.9949 0.2542
Rh4 0.0026 0.0051 0.7458
Rh5 0.6724 0.3447 0.0998
Rh6 0.5000 0.0000 0.5000
Rh7 0.3276 0.6553 0.9002
# Calculated volume, A^3/atom: 14.68
# Excess energy over the best structure of this formula in the dataset, eV/atom: 0.176
# Fermi-level density of states, states/eV/f.u.: 19.38
# Final energy, eV per atom: -7.8198
# SG: No. 12
# E_form, eV/atom: 0.161


# PBE ZrBr3, relaxed
data_ZrBr3
_chemical_formula_sum 'Zr2 Br6'
_symmetry_space_group_name_H-M 'P 1'
_symmetry_Int_Tables_number 1
_cell_length_a 5.8170
_cell_length_b 5.8170
_cell_length_c 5.8170
_cell_angle_alpha 90.00
_cell_angle_beta 90.00
_cell_angle_gamma 90.00
loop_
_symmetry_equiv_pos_as_xyz
'x,y,z'
loop_
_atom_site_label
_atom_site_fract_x
_atom_site_fract_y
_atom_site_fract_z
Zr1 0.0000 0.0000 0.0000
Zr2 0.5000 0.5000 0.5000
Br1 0.7500 0.5000 0.0000
Br2 0.2500 0.5000 0.0000
Br3 0.0000 0.7500 0.5000
Br4 0.0000 0.2500 0.5000
Br5 0.5000 0.0000 0.2500
Br6 0.5000 0.0000 0.7500
# Formation energy without anion corrections, eV per atom: -0.29
# Calculated volume, A^3/atom: 24.60
# Fermi-level density of states, states/eV/f.u.: 2.15
# Final energy, eV per atom: -3.6837
# SG: No. 223


# PBE CsLaRh2, relaxed
data_CsLaRh2
_chemical_formula_sum 'Cs2 La2 Rh4'
_symmetry_space_group_name_H-M 'P 1'
_symmetry_Int_Tables_number 1
_cell_length_a 7.9395
_cell_length_b 7.9395
_cell_length_c 6.5231
_cell_angle_alpha 52.51
_cell_angle_beta 52.51
_cell_angle_gamma 90.00
loop_
_symmetry_equiv_pos_as_xyz
'x,y,z'
loop_
_atom_site_label
_atom_site_fract_x
_atom_site_fract_y
_atom_site_fract_z
Cs1 0.5000 0.5000 0.0000
Cs2 0.2500 0.7500 0.5000
Rh1 0.6673 0.1250 0.2500
Rh2 0.0827 0.6250 0.2500
Rh3 0.3750 0.3327 0.7500
Rh4 0.8750 0.9173 0.7500
La1 0.0000 0.0000 0.0000
La2 0.7500 0.2500 0.5000
# Calculated volume, A^3/atom: 26.17
# Excess energy over the best structure of this formula in the dataset, eV/atom: 0.000
# Fermi-level density of states, states/eV/f.u.: 0.98
# Final energy, eV per atom: -4.7715
# SG: No. 122
# E_form, eV/atom: 0.350


# PBE Pr8NiIr3I3, relaxed
data_Pr8NiIr3I3
_chemical_formula_sum 'Pr8 Ni1 Ir3 I3'
_symmetry_space_group_name_H-M 'P 1'
_symmetry_Int_Tables_number 1
_cell_length_a 8.4458
_cell_length_b 8.4463
_cell_length_c 9.4950
_cell_angle_alpha 116.44
_cell_angle_beta 90.00
_cell_angle_gamma 120.00
loop_
_symmetry_equiv_pos_as_xyz
'x,y,z'
loop_
_atom_site_label
_atom_site_fract_x
_atom_site_fract_y
_atom_site_fract_z
Pr1 0.2709 0.5419 0.3131
Pr2 0.7291 0.4581 0.6869
Pr3 0.7735 0.5470 0.3173
Pr4 0.2265 0.4530 0.6827
Pr5 0.7735 0.0436 0.3173
Pr6 0.2265 0.9564 0.6827
Pr7 0.2700 0.0436 0.3173
Pr8 0.7300 0.9564 0.6827
Ni1 0.0000 0.0000 0.5000
Ir1 0.5000 0.0000 0.5000
Ir2 0.5000 0.5000 0.5000
Ir3 0.0000 0.5000 0.5000
I1 0.0000 0.0000 0.0000
I2 0.0000 0.5000 0.0000
I3 0.5000 0.5000 0.0000
# Formation energy without anion corrections, eV per atom: -0.76
# Calculated volume, A^3/atom: 33.54
# Fermi-level density of states, states/eV/f.u.: 8.25
# Final energy, eV per atom: -5.7790
# SG: No. 166


# PBE Ac4Ge2O, relaxed
data_Ac4Ge2O
_chemical_formula_sum 'Ac4 Ge2 O1'
_symmetry_space_group_name_H-M 'P 1'
_symmetry_Int_Tables_number 1
_cell_length_a 5.0007
_cell_length_b 5.0007
_cell_length_c 9.3301
_cell_angle_alpha 105.54
_cell_angle_beta 105.54
_cell_angle_gamma 90.00
loop_
_symmetry_equiv_pos_as_xyz
'x,y,z'
loop_
_atom_site_label
_atom_site_fract_x
_atom_site_fract_y
_atom_site_fract_z
Ac1 0.8180 0.8180 0.6361
Ac2 0.1820 0.1820 0.3639
Ac3 0.0000 0.5000 0.0000
Ac4 0.5000 0.0000 0.0000
Ge1 0.6333 0.6333 0.2665
Ge2 0.3667 0.3667 0.7335
O1 0.0000 0.0000 0.0000
# Formation energy without anion corrections, eV per atom: -1.14
# Calculated volume, A^3/atom: 30.85
# Excess energy over the best structure of this formula in the dataset, eV/atom: 0.047
# Fermi-level density of states, states/eV/f.u.: 5.44
# Final energy, eV per atom: -5.5114
# SG: No. 139


# PBE ZnReOs, relaxed
data_ZnReOs
_chemical_formula_sum 'Zn2 Re2 Os2'
_symmetry_space_group_name_H-M 'P 1'
_symmetry_Int_Tables_number 1
_cell_length_a 2.7938
_cell_length_b 2.7938
_cell_length_c 11.2241
_cell_angle_alpha 90.00
_cell_angle_beta 90.00
_cell_angle_gamma 90.00
loop_
_symmetry_equiv_pos_as_xyz
'x,y,z'
loop_
_atom_site_label
_atom_site_fract_x
_atom_site_fract_y
_atom_site_fract_z
Zn1 0.0000 0.5000 0.5841
Zn2 0.5000 0.0000 0.4159
Os1 0.0000 0.5000 0.2503
Os2 0.5000 0.0000 0.7497
Re1 0.5000 0.0000 0.0929
Re2 0.0000 0.5000 0.9071
# Calculated volume, A^3/atom: 14.60
# Excess energy over the best structure of this formula in the dataset, eV/atom: 0.000
# Fermi-level density of states, states/eV/f.u.: 2.01
# Final energy, eV per atom: -8.2845
# SG: No. 129
# E_form, eV/atom: 0.033


# PBE Ba2LiAl, relaxed
data_Ba2LiAl
_chemical_formula_sum 'Ba2 Li1 Al1'
_symmetry_space_group_name_H-M 'P 1'
_symmetry_Int_Tables_number 1
_cell_length_a 11.3387
_cell_length_b 11.3387
_cell_length_c 11.3387
_cell_angle_alpha 21.52
_cell_angle_beta 21.52
_cell_angle_gamma 21.52
loop_
_symmetry_equiv_pos_as_xyz
'x,y,z'
loop_
_atom_site_label
_atom_site_fract_x
_atom_site_fract_y
_atom_site_fract_z
Al1 0.7500 0.7500 0.7500
Ba1 0.0093 0.0093 0.0093
Ba2 0.4907 0.4907 0.4907
Li1 0.2500 0.2500 0.2500
# Calculated volume, A^3/atom: 42.98
# Fermi-level density of states, states/eV/f.u.: 2.92
# Final energy, eV per atom: -2.2122
# SG: No. 166
# E_form, eV/atom: 0.163


# PBE Ba4NiBr, relaxed
data_Ba4NiBr
_chemical_formula_sum 'Ba4 Ni1 Br1'
_symmetry_space_group_name_H-M 'P 1'
_symmetry_Int_Tables_number 1
_cell_length_a 7.2941
_cell_length_b 7.2941
_cell_length_c 7.2941
_cell_angle_alpha 60.00
_cell_angle_beta 60.00
_cell_angle_gamma 60.00
loop_
_symmetry_equiv_pos_as_xyz
'x,y,z'
loop_
_atom_site_label
_atom_site_fract_x
_atom_site_fract_y
_atom_site_fract_z
Ba1 0.8756 0.3748 0.3748
Ba2 0.3748 0.3748 0.8756
Ba3 0.3748 0.8756 0.3748
Ba4 0.3748 0.3748 0.3748
Ni1 0.0000 0.0000 0.0000
Br1 0.7500 0.7500 0.7500
# Formation energy without anion corrections, eV per atom: 0.46
# Calculated volume, A^3/atom: 45.74
# Excess energy over the best structure of this formula in the dataset, eV/atom: 0.942
# Fermi-level density of states, states/eV/f.u.: 9.18
# Final energy, eV per atom: -2.0686
# SG: No. 216


# PBE TaBIr, relaxed
data_TaBIr
_chemical_formula_sum 'Ta6 B6 Ir6'
_symmetry_space_group_name_H-M 'P 1'
_symmetry_Int_Tables_number 1
_cell_length_a 6.8478
_cell_length_b 6.8478
_cell_length_c 5.8305
_cell_angle_alpha 90.00
_cell_angle_beta 90.00
_cell_angle_gamma 120.00
loop_
_symmetry_equiv_pos_as_xyz
'x,y,z'
loop_
_atom_site_label
_atom_site_fract_x
_atom_site_fract_y
_atom_site_fract_z
Ir1 0.0008 0.5993 0.7500
Ir2 0.5985 0.9992 0.7500
Ir3 0.4007 0.4015 0.7500
Ir4 0.5993 0.0008 0.2500
Ir5 0.9992 0.5985 0.2500
Ir6 0.4015 0.4007 0.2500
B1 0.0000 0.0000 0.7500
B2 0.0000 0.0000 0.2500
B3 0.3333 0.6667 0.9136
B4 0.3333 0.6667 0.5864
B5 0.6667 0.3333 0.0864
B6 0.6667 0.3333 0.4136
Ta1 0.0000 0.2602 0.0000
Ta2 0.2602 0.0000 0.0000
Ta3 0.7398 0.7398 0.0000
Ta4 0.0000 0.2602 0.5000
Ta5 0.2602 0.0000 0.5000
Ta6 0.7398 0.7398 0.5000
# Calculated volume, A^3/atom: 13.15
# Fermi-level density of states, states/eV/f.u.: 2.61
# Final energy, eV per atom: -9.2250
# SG: No. 190
# E_form, eV/atom: -0.095


Q: Look up the calculated volume of the tenth one.
A: 13.15 A^3/atom